1.
# GGA-PBE Pm2HoThTe5, optimized geometry
# uncorrected formation energy	-0.67	eV per atom
# V	355.9	Å³/cell
# magnetization	0.42	μB per cell
# electronic total energy	-4.80	eV/atom
data_Pm2HoThTe5
_cell_length_a 5.4858
_cell_length_b 5.4858
_cell_length_c 11.8259
_cell_angle_alpha 90.00
_cell_angle_beta 90.00
_cell_angle_gamma 90.00
_space_group_name_H-M_alt 'P 1'
_space_group_IT_number 1
_space_group_name_Hall 'P 1'
loop_
_atom_site_label
_atom_site_type_symbol
_atom_site_fract_x
_atom_site_fract_y
_atom_site_fract_z
_atom_site_occupancy
Pm1 Pm 0.0000 0.0000 0.1521 1
Pm2 Pm 0.0000 0.0000 0.8479 1
Ho1 Ho 0.5000 0.5000 0.0000 1
Th1 Th 0.5000 0.5000 0.5000 1
Te1 Te 0.0000 0.0000 0.5000 1
Te2 Te 0.0000 0.5000 0.0000 1
Te3 Te 0.5000 0.0000 0.0000 1
Te4 Te 0.5000 0.5000 0.2520 1
Te5 Te 0.5000 0.5000 0.7480 1

***

2.
# GGA-PBE BaIr2C, optimized geometry
# V	174.0	Å³/cell
# magnetization	0.00	μB per cell
# energy of formation	0.99	eV per formula unit
# electronic total energy	-6.97	eV/atom
data_BaIr2C
_cell_length_a 7.1983
_cell_length_b 7.1983
_cell_length_c 7.1983
_cell_angle_alpha 136.58
_cell_angle_beta 136.58
_cell_angle_gamma 63.08
_space_group_name_H-M_alt 'P 1'
_space_group_IT_number 1
_space_group_name_Hall 'P 1'
loop_
_atom_site_label
_atom_site_type_symbol
_atom_site_fract_x
_atom_site_fract_y
_atom_site_fract_z
_atom_site_occupancy
Ba1 Ba 0.3750 0.6250 0.7500 1
Ba2 Ba 0.6250 0.3750 0.2500 1
Ir1 Ir 0.0000 0.0000 0.0000 1
Ir2 Ir 0.0000 0.0000 0.5000 1
Ir3 Ir 0.0000 0.5000 0.0000 1
Ir4 Ir 0.5000 0.0000 0.5000 1
C1 C 0.1250 0.8750 0.2500 1
C2 C 0.8750 0.1250 0.7500 1

***

3.
# GGA-PBE SrBeSb, optimized geometry
# uncorrected formation energy	0.47	eV per atom
# V	96.3	Å³/cell
# magnetization	0.00	μB per cell
# electronic total energy	-2.71	eV/atom
# offset from the most stable computed form	942	meV per atom
data_SrBeSb
_cell_length_a 5.1449
_cell_length_b 5.1449
_cell_length_c 5.1449
_cell_angle_alpha 60.00
_cell_angle_beta 60.00
_cell_angle_gamma 60.00
_space_group_name_H-M_alt 'P 1'
_space_group_IT_number 1
_space_group_name_Hall 'P 1'
loop_
_atom_site_label
_atom_site_type_symbol
_atom_site_fract_x
_atom_site_fract_y
_atom_site_fract_z
_atom_site_occupancy
Sr1 Sr 0.0000 0.0000 0.0000 1
Be1 Be 0.2500 0.2500 0.2500 1
Sb1 Sb 0.7500 0.7500 0.7500 1

***

4.
# GGA-PBE NdTmNi2, optimized geometry
# V	87.2	Å³/cell
# magnetization	0.00	μB per cell
# energy of formation	-0.79	eV per formula unit
# electronic total energy	-5.40	eV/atom
# offset from the most stable computed form	202	meV per atom
data_NdTmNi2
_cell_length_a 6.6713
_cell_length_b 6.6713
_cell_length_c 6.6713
_cell_angle_alpha 34.99
_cell_angle_beta 34.99
_cell_angle_gamma 34.99
_space_group_name_H-M_alt 'P 1'
_space_group_IT_number 1
_space_group_name_Hall 'P 1'
loop_
_atom_site_label
_atom_site_type_symbol
_atom_site_fract_x
_atom_site_fract_y
_atom_site_fract_z
_atom_site_occupancy
Nd1 Nd 0.0000 0.0000 0.0000 1
Tm1 Tm 0.5000 0.5000 0.5000 1
Ni1 Ni 0.2429 0.2429 0.2429 1
Ni2 Ni 0.7571 0.7571 0.7571 1

***

5.
# GGA-PBE ScRe3H, optimized geometry
# V	66.3	Å³/cell
# magnetization	0.00	μB per cell
# electronic total energy	-9.15	eV/atom
# offset from the most stable computed form	0	meV per atom
data_ScRe3H
_cell_length_a 4.0469
_cell_length_b 4.0469
_cell_length_c 4.0469
_cell_angle_alpha 90.00
_cell_angle_beta 90.00
_cell_angle_gamma 90.00
_space_group_name_H-M_alt 'P 1'
_space_group_IT_number 1
_space_group_name_Hall 'P 1'
loop_
_atom_site_label
_atom_site_type_symbol
_atom_site_fract_x
_atom_site_fract_y
_atom_site_fract_z
_atom_site_occupancy
Sc1 Sc 0.0000 0.0000 0.0000 1
Re1 Re 0.0000 0.5000 0.5000 1
Re2 Re 0.5000 0.0000 0.5000 1
Re3 Re 0.5000 0.5000 0.0000 1
H1 H 0.5000 0.5000 0.5000 1

***

6.
# GGA-PBE Mg3Al5H12, optimized geometry
# V	839.3	Å³/cell
# magnetization	0.00	μB per cell
# electronic total energy	-2.93	eV/atom
data_Mg3Al5H12
_cell_length_a 10.2922
_cell_length_b 10.2922
_cell_length_c 10.2922
_cell_angle_alpha 109.47
_cell_angle_beta 109.47
_cell_angle_gamma 109.47
_space_group_name_H-M_alt 'P 1'
_space_group_IT_number 1
_space_group_name_Hall 'P 1'
loop_
_atom_site_label
_atom_site_type_symbol
_atom_site_fract_x
_atom_site_fract_y
_atom_site_fract_z
_atom_site_occupancy
Mg1 Mg 0.1250 0.2500 0.3750 1
Mg2 Mg 0.1250 0.3750 0.7500 1
Mg3 Mg 0.2500 0.3750 0.1250 1
Mg4 Mg 0.2500 0.8750 0.6250 1
Mg5 Mg 0.3750 0.1250 0.2500 1
Mg6 Mg 0.3750 0.7500 0.1250 1
Mg7 Mg 0.6250 0.2500 0.8750 1
Mg8 Mg 0.6250 0.8750 0.7500 1
Mg9 Mg 0.7500 0.1250 0.3750 1
Mg10 Mg 0.7500 0.6250 0.8750 1
Mg11 Mg 0.8750 0.6250 0.2500 1
Mg12 Mg 0.8750 0.7500 0.6250 1
Al1 Al 0.0000 0.0000 0.0000 1
Al2 Al 0.0000 0.0000 0.5000 1
Al3 Al 0.0000 0.5000 0.0000 1
Al4 Al 0.0000 0.5000 0.5000 1
Al5 Al 0.1250 0.7500 0.8750 1
Al6 Al 0.1250 0.8750 0.2500 1
Al7 Al 0.2500 0.1250 0.8750 1
Al8 Al 0.2500 0.6250 0.3750 1
Al9 Al 0.3750 0.2500 0.6250 1
Al10 Al 0.3750 0.6250 0.7500 1
Al11 Al 0.5000 0.0000 0.0000 1
Al12 Al 0.5000 0.0000 0.5000 1
Al13 Al 0.5000 0.5000 0.0000 1
Al14 Al 0.5000 0.5000 0.5000 1
Al15 Al 0.6250 0.3750 0.2500 1
Al16 Al 0.6250 0.7500 0.3750 1
Al17 Al 0.7500 0.3750 0.6250 1
Al18 Al 0.7500 0.8750 0.1250 1
Al19 Al 0.8750 0.1250 0.7500 1
Al20 Al 0.8750 0.2500 0.1250 1
H1 H 0.0131 0.5598 0.3647 1
H2 H 0.0131 0.9533 0.6484 1
H3 H 0.0467 0.1951 0.0598 1
H4 H 0.0467 0.3516 0.9869 1
H5 H 0.0598 0.0467 0.1951 1
H6 H 0.0598 0.5131 0.8647 1
H7 H 0.1353 0.6951 0.6484 1
H8 H 0.1353 0.9402 0.4869 1
H9 H 0.1484 0.1951 0.6353 1
H10 H 0.1484 0.4533 0.5131 1
H11 H 0.1951 0.0598 0.0467 1
H12 H 0.1951 0.6353 0.1484 1
H13 H 0.3049 0.3516 0.8647 1
H14 H 0.3049 0.4533 0.4402 1
H15 H 0.3516 0.8647 0.3049 1
H16 H 0.3516 0.9869 0.0467 1
H17 H 0.3647 0.0131 0.5598 1
H18 H 0.3647 0.8516 0.8049 1
H19 H 0.4402 0.3049 0.4533 1
H20 H 0.4402 0.6353 0.9869 1
H21 H 0.4533 0.4402 0.3049 1
H22 H 0.4533 0.5131 0.1484 1
H23 H 0.4869 0.1353 0.9402 1
H24 H 0.4869 0.8516 0.5467 1
H25 H 0.5131 0.1484 0.4533 1
H26 H 0.5131 0.8647 0.0598 1
H27 H 0.5467 0.4869 0.8516 1
H28 H 0.5467 0.5598 0.6951 1
H29 H 0.5598 0.3647 0.0131 1
H30 H 0.5598 0.6951 0.5467 1
H31 H 0.6353 0.1484 0.1951 1
H32 H 0.6353 0.9869 0.4402 1
H33 H 0.6484 0.0131 0.9533 1
H34 H 0.6484 0.1353 0.6951 1
H35 H 0.6951 0.5467 0.5598 1
H36 H 0.6951 0.6484 0.1353 1
H37 H 0.8049 0.3647 0.8516 1
H38 H 0.8049 0.9402 0.9533 1
H39 H 0.8516 0.5467 0.4869 1
H40 H 0.8516 0.8049 0.3647 1
H41 H 0.8647 0.0598 0.5131 1
H42 H 0.8647 0.3049 0.3516 1
H43 H 0.9402 0.4869 0.1353 1
H44 H 0.9402 0.9533 0.8049 1
H45 H 0.9533 0.6484 0.0131 1
H46 H 0.9533 0.8049 0.9402 1
H47 H 0.9869 0.0467 0.3516 1
H48 H 0.9869 0.4402 0.6353 1

***

7.
# GGA-PBE Na2TlS2, optimized geometry
# uncorrected formation energy	-0.57	eV per atom
# V	221.1	Å³/cell
# magnetization	0.00	μB per cell
# electronic total energy	-3.23	eV/atom
# offset from the most stable computed form	100	meV per atom
data_Na2TlS2
_cell_length_a 8.3243
_cell_length_b 8.3243
_cell_length_c 3.1904
_cell_angle_alpha 90.00
_cell_angle_beta 90.00
_cell_angle_gamma 90.00
_space_group_name_H-M_alt 'P 1'
_space_group_IT_number 1
_space_group_name_Hall 'P 1'
loop_
_atom_site_label
_atom_site_type_symbol
_atom_site_fract_x
_atom_site_fract_y
_atom_site_fract_z
_atom_site_occupancy
Na1 Na 0.1261 0.3739 0.0000 1
Na2 Na 0.3739 0.8739 0.0000 1
Na3 Na 0.6261 0.1261 0.0000 1
Na4 Na 0.8739 0.6261 0.0000 1
Tl1 Tl 0.0000 0.0000 0.0000 1
Tl2 Tl 0.5000 0.5000 0.0000 1
S1 S 0.1717 0.6717 0.5000 1
S2 S 0.3283 0.1717 0.5000 1
S3 S 0.6717 0.8283 0.5000 1
S4 S 0.8283 0.3283 0.5000 1

***

8.
# GGA-PBE CsIn2Au3, optimized geometry
# V	334.6	Å³/cell
# magnetization	0.00	μB per cell
# energy of formation	-1.80	eV per formula unit
# electronic total energy	-2.99	eV/atom
# offset from the most stable computed form	0	meV per atom
data_CsIn2Au3
_cell_length_a 7.2811
_cell_length_b 7.2811
_cell_length_c 6.6986
_cell_angle_alpha 90.00
_cell_angle_beta 90.00
_cell_angle_gamma 70.43
_space_group_name_H-M_alt 'P 1'
_space_group_IT_number 1
_space_group_name_Hall 'P 1'
loop_
_atom_site_label
_atom_site_type_symbol
_atom_site_fract_x
_atom_site_fract_y
_atom_site_fract_z
_atom_site_occupancy
Cs1 Cs 0.1443 0.8557 0.7500 1
Cs2 Cs 0.8557 0.1443 0.2500 1
In1 In 0.3142 0.3142 0.0000 1
In2 In 0.3142 0.3142 0.5000 1
In3 In 0.6858 0.6858 0.0000 1
In4 In 0.6858 0.6858 0.5000 1
Au1 Au 0.0123 0.5890 0.2500 1
Au2 Au 0.3951 0.6049 0.2500 1
Au3 Au 0.4110 0.9877 0.2500 1
Au4 Au 0.5890 0.0123 0.7500 1
Au5 Au 0.6049 0.3951 0.7500 1
Au6 Au 0.9877 0.4110 0.7500 1

***

9.
# GGA-PBE SbTeMo2Pt, optimized geometry
# uncorrected formation energy	2.07	eV per atom
# V	144.5	Å³/cell
# magnetization	6.14	μB per cell
# electronic total energy	-4.92	eV/atom
data_SbTeMo2Pt
_cell_length_a 5.1054
_cell_length_b 5.1054
_cell_length_c 5.5458
_cell_angle_alpha 90.00
_cell_angle_beta 90.00
_cell_angle_gamma 90.00
_space_group_name_H-M_alt 'P 1'
_space_group_IT_number 1
_space_group_name_Hall 'P 1'
loop_
_atom_site_label
_atom_site_type_symbol
_atom_site_fract_x
_atom_site_fract_y
_atom_site_fract_z
_atom_site_occupancy
Sb1 Sb 0.0000 0.0000 0.0000 1
Te1 Te 0.0000 0.0000 0.5000 1
Mo1 Mo 0.0000 0.5000 0.0000 1
Mo2 Mo 0.5000 0.0000 0.0000 1
Pt1 Pt 0.5000 0.5000 0.5000 1

***

10.
# GGA-PBE Ta2CuTcH, optimized geometry
# V	65.3	Å³/cell
# magnetization	0.00	μB per cell
# electronic total energy	-8.32	eV/atom
# offset from the most stable computed form	13	meV per atom
data_Ta2CuTcH
_cell_length_a 4.1249
_cell_length_b 4.1249
_cell_length_c 3.8407
_cell_angle_alpha 90.00
_cell_angle_beta 90.00
_cell_angle_gamma 90.00
_space_group_name_H-M_alt 'P 1'
_space_group_IT_number 1
_space_group_name_Hall 'P 1'
loop_
_atom_site_label
_atom_site_type_symbol
_atom_site_fract_x
_atom_site_fract_y
_atom_site_fract_z
_atom_site_occupancy
Ta1 Ta 0.0000 0.5000 0.0000 1
Ta2 Ta 0.5000 0.0000 0.0000 1
Cu1 Cu 0.0000 0.0000 0.5000 1
Tc1 Tc 0.5000 0.5000 0.5000 1
H1 H 0.5000 0.5000 0.0000 1

***

11.
# GGA-PBE MnCu2As, optimized geometry
# V	55.1	Å³/cell
# magnetization	3.21	μB per cell
# energy of formation	0.26	eV per formula unit
# electronic total energy	-5.44	eV/atom
data_MnCu2As
_cell_length_a 2.7738
_cell_length_b 3.7279
_cell_length_c 5.4976
_cell_angle_alpha 90.00
_cell_angle_beta 104.25
_cell_angle_gamma 90.00
_space_group_name_H-M_alt 'P 1'
_space_group_IT_number 1
_space_group_name_Hall 'P 1'
loop_
_atom_site_label
_atom_site_type_symbol
_atom_site_fract_x
_atom_site_fract_y
_atom_site_fract_z
_atom_site_occupancy
Mn1 Mn 0.0000 0.0000 0.0000 1
Cu1 Cu 0.3600 0.5000 0.7227 1
Cu2 Cu 0.7556 0.0000 0.5163 1
As1 As 0.6005 0.5000 0.2058 1

***

12.
# GGA-PBE PrHo5Er2Tm, optimized geometry
# V	577.0	Å³/cell
# magnetization	0.01	μB per cell
# energy of formation	1.50	eV per formula unit
# electronic total energy	-4.42	eV/atom
data_PrHo5Er2Tm
_cell_length_a 10.2469
_cell_length_b 10.2469
_cell_length_c 10.4880
_cell_angle_alpha 90.00
_cell_angle_beta 90.00
_cell_angle_gamma 148.40
_space_group_name_H-M_alt 'P 1'
_space_group_IT_number 1
_space_group_name_Hall 'P 1'
loop_
_atom_site_label
_atom_site_type_symbol
_atom_site_fract_x
_atom_site_fract_y
_atom_site_fract_z
_atom_site_occupancy
Pr1 Pr 0.0842 0.9158 0.5000 1
Pr2 Pr 0.9158 0.0842 0.0000 1
Ho1 Ho 0.0213 0.9787 0.7856 1
Ho2 Ho 0.1145 0.8855 0.0706 1
Ho3 Ho 0.2018 0.7982 0.7582 1
Ho4 Ho 0.2194 0.7806 0.3623 1
Ho5 Ho 0.4821 0.5179 0.0720 1
Ho6 Ho 0.5179 0.4821 0.5720 1
Ho7 Ho 0.7806 0.2194 0.8623 1
Ho8 Ho 0.7982 0.2018 0.2582 1
Ho9 Ho 0.8855 0.1145 0.5706 1
Ho10 Ho 0.9787 0.0213 0.2856 1
Er1 Er 0.3868 0.6132 0.3663 1
Er2 Er 0.3884 0.6116 0.7830 1
Er3 Er 0.6116 0.3884 0.2830 1
Er4 Er 0.6132 0.3868 0.8663 1
Tm1 Tm 0.3007 0.6993 0.0609 1
Tm2 Tm 0.6993 0.3007 0.5609 1